# 1
Compound: Tb3In3CuAgAu
Source: OQMD via LeMat-Bulk
Functional: GGA-PBE
Structure: optimized geometry

- V: 22.7 A^3/atom
- Calculated total energy: -4.101 eV/atom
- Crystal system: hexagonal
- Symmetry: P-6 (174)
- Magnetic moment: 0.00 μB/atom

Structure (extended XYZ):
```
9
Lattice="-5.109 5.909 -0.036 -0.802 -5.825 5.142 2.213 1.928 2.529" Properties=species:S:1:pos:R:3 pbc="T T T"
Ag -2.237 -1.914 3.416
Au 0.000 0.000 0.000
Cu -2.567 2.962 2.955
In -2.205 2.004 0.401
In -4.966 3.462 1.705
In -3.848 0.527 2.964
Tb -0.487 0.598 2.938
Tb 0.173 -2.949 5.064
Tb -3.079 -0.497 6.040
```



# 2
Compound: CuAgSbAu
Source: OQMD via LeMat-Bulk
Functional: GGA-PBE
Structure: optimized geometry

- V: 18.8 A^3/atom
- Distance to the lowest polymorph of the same formula: 0.00 kcal/mol of atoms
- Calculated total energy: -3.349 eV/atom
- Crystal system: cubic
- Symmetry: F-43m (216)

Structure (extended XYZ):
```
4
Lattice="-1.683 0.999 4.318 -3.719 -2.394 1.706 0.593 -3.088 3.548" Properties=species:S:1:pos:R:3 pbc="T T T"
Ag -2.405 -2.241 4.786
Au -1.202 -1.121 2.393
Cu -3.607 -3.362 7.179
Sb 0.000 0.000 0.000
```



# 3
Compound: CuSiAgAu
Source: OQMD via LeMat-Bulk
Functional: GGA-PBE
Structure: optimized geometry

- V: 16.0 A^3/atom
- Distance to the lowest polymorph of the same formula: 0.00 kcal/mol of atoms
- Calculated total energy: -3.650 eV/atom
- Crystal system: cubic
- Symmetry: F-43m (216)

Structure (extended XYZ):
```
4
Lattice="1.395 -4.192 -0.788 2.146 -2.291 3.207 -2.024 -3.456 2.025" Properties=species:S:1:pos:R:3 pbc="T T T"
Ag 0.759 -4.970 2.222
Au 0.379 -2.485 1.111
Cu 1.138 -7.455 3.333
Si 0.000 0.000 0.000
```



# 4
Compound: CuAgSnAu
Source: OQMD via LeMat-Bulk
Functional: GGA-PBE
Structure: optimized geometry

- V: 18.3 A^3/atom
- Distance to the lowest polymorph of the same formula: 0.00 kcal/mol of atoms
- Calculated total energy: -3.437 eV/atom
- Crystal system: cubic
- Symmetry: F-43m (216)

Structure (extended XYZ):
```
4
Lattice="0.000 3.319 3.319 3.319 0.000 3.319 3.319 3.319 0.000" Properties=species:S:1:pos:R:3 pbc="T T T"
Ag 3.319 3.319 3.319
Au 1.660 1.660 1.660
Cu 4.979 4.979 4.979
Sn 0.000 0.000 0.000
```